4
Lattice="0.000 3.465 3.465 3.465 0.000 3.465 3.465 3.465 0.000" Properties=species:S:1:pos:R:3 comment="GGA-PBE CrPI2, relaxed" de_polymorph_ev_per_atom=0.5124 raw_formation_energy_ev_per_atom=1.206 pbc="T T T"
I 1.732 1.732 1.732
I 5.197 5.197 5.197
Cr 3.465 3.465 3.465
P 0.000 0.000 0.000



5
Lattice="-3.863 1.776 -2.405 -2.103 -4.407 0.124 -2.125 1.134 4.250" Properties=species:S:1:pos:R:3 comment="GGA-PBE Cr3PI, relaxed" de_polymorph_ev_per_atom=0.0000 raw_formation_energy_ev_per_atom=0.557 pbc="T T T"
I -4.045 -0.749 0.984
Cr -1.052 -2.203 0.062
Cr -1.062 0.567 2.125
Cr -1.931 0.888 -1.203
P 0.000 0.000 0.000



5
Lattice="4.365 0.000 0.000 0.000 5.325 0.000 0.000 0.000 4.365" Properties=species:S:1:pos:R:3 comment="GGA-PBE Cr2RePI, relaxed" raw_formation_energy_ev_per_atom=1.528 pbc="T T T"
I 0.000 2.663 0.000
Re 2.182 2.663 2.182
P 0.000 0.000 0.000
Cr 0.000 0.000 2.182
Cr 2.182 0.000 0.000



5
Lattice="4.327 0.000 0.000 0.000 5.686 0.000 0.000 0.000 4.327" Properties=species:S:1:pos:R:3 comment="GGA-PBE CrPRh2I, relaxed" de_polymorph_ev_per_atom=0.1647 raw_formation_energy_ev_per_atom=0.973 pbc="T T T"
I 0.000 2.843 0.000
Cr 2.163 2.843 2.163
Rh 0.000 0.000 2.163
Rh 2.163 0.000 0.000
P 0.000 0.000 0.000



5
Lattice="-3.320 -3.040 1.221 2.832 -3.537 -1.108 1.535 -0.044 4.065" Properties=species:S:1:pos:R:3 comment="GGA-PBE CrPRh2I, relaxed" de_polymorph_ev_per_atom=0.0000 raw_formation_energy_ev_per_atom=0.809 pbc="T T T"
I 0.524 -3.311 2.089
Cr 0.000 0.000 0.000
Rh 1.416 -1.769 -0.554
Rh -1.660 -1.520 0.611
P 0.768 -0.022 2.032



5
Lattice="-0.940 -4.834 1.563 4.699 -0.223 2.137 -1.871 1.753 4.297" Properties=species:S:1:pos:R:3 comment="GGA-PBE CrP2SI, relaxed" de_polymorph_ev_per_atom=1.1520 raw_formation_energy_ev_per_atom=1.535 pbc="T T T"
I 0.000 0.000 0.000
Cr 0.944 -1.652 3.998
S -0.936 0.877 2.148
P 2.349 -0.111 1.068
P -0.470 -2.417 0.782



5
Lattice="4.691 0.000 0.000 0.000 4.691 0.000 0.000 0.000 4.323" Properties=species:S:1:pos:R:3 comment="GGA-PBE CrP2SI, relaxed" de_polymorph_ev_per_atom=0.0000 raw_formation_energy_ev_per_atom=0.383 pbc="T T T"
I 2.346 2.346 2.162
Cr 0.000 0.000 0.000
S 0.000 0.000 2.162
P 0.000 2.346 0.000
P 2.346 0.000 0.000



5
Lattice="-3.263 -0.401 4.114 3.053 -3.768 2.054 2.816 3.696 2.594" Properties=species:S:1:pos:R:3 comment="GGA-PBE CrSb2PI, relaxed" de_polymorph_ev_per_atom=0.0103 raw_formation_energy_ev_per_atom=0.877 pbc="T T T"
I 1.408 1.848 1.297
Sb 1.527 -1.884 1.027
Sb -1.631 -0.201 2.057
P 0.000 0.000 0.000
Cr 1.303 -0.237 4.381



5
Lattice="5.051 0.000 0.000 0.000 5.051 0.000 0.000 0.000 4.980" Properties=species:S:1:pos:R:3 comment="GGA-PBE CrSb2PI, relaxed" de_polymorph_ev_per_atom=0.0000 raw_formation_energy_ev_per_atom=0.866 pbc="T T T"
I 0.000 0.000 2.490
Sb 0.000 2.526 0.000
Sb 2.526 0.000 0.000
P 2.526 2.526 2.490
Cr 0.000 0.000 0.000



5
Lattice="-4.513 0.028 2.721 2.340 -2.352 3.906 1.271 4.682 2.058" Properties=species:S:1:pos:R:3 comment="GGA-PBE Cr2PSeI, relaxed" raw_formation_energy_ev_per_atom=1.369 pbc="T T T"
I 0.000 0.000 0.000
Cr 0.635 2.341 1.029
Cr -2.257 0.014 1.361
Se -0.451 1.180 4.343
P 1.170 -1.176 1.953



5
Lattice="5.194 0.000 0.000 0.000 5.194 0.000 0.000 0.000 5.099" Properties=species:S:1:pos:R:3 comment="GGA-PBE CrTePI2, relaxed" de_polymorph_ev_per_atom=0.2522 raw_formation_energy_ev_per_atom=0.899 pbc="T T T"
I 0.000 2.597 0.000
I 2.597 0.000 0.000
Cr 0.000 0.000 0.000
Te 0.000 0.000 2.549
P 2.597 2.597 2.549



5
Lattice="-1.190 3.271 4.116 -5.011 0.571 -1.903 -1.619 -4.320 2.965" Properties=species:S:1:pos:R:3 comment="GGA-PBE CrTePI2, relaxed" de_polymorph_ev_per_atom=0.0000 raw_formation_energy_ev_per_atom=0.647 pbc="T T T"
I -2.505 0.286 -0.951
I -0.595 1.635 2.058
Cr -3.910 -0.239 2.589
Te -0.809 -2.160 1.483
P 0.000 0.000 0.000